Material: Sc2TlRh
Method: DFT, GGA-PBE
State: optimized geometry

Cell: 4.752 4.752 4.752 Å, 60.00 60.00 60.00°
Positions (direct):
Sc 0.000 0.000 0.000
Sc 0.250 0.250 0.250
Tl 0.750 0.750 0.750
Rh 0.500 0.500 0.500

Computed properties:
formation energy from the elements	-0.429	eV per atom
total magnetic moment	0.000	μB per atom
energy relative to the lowest polymorph listed for this composition	0.82	eV per formula unit
space group	No. 216

---

Material: Sc6Tl3Rh
Method: DFT, GGA-PBE
State: optimized geometry

Cell: 8.802 4.950 10.564 Å, 90.00 105.56 90.00°
Positions (direct):
Sc 0.054 0.250 0.416
Sc 0.190 0.750 0.175
Sc 0.283 0.250 0.004
Sc 0.354 0.750 0.825
Sc 0.368 0.250 0.327
Sc 0.416 0.250 0.640
Sc 0.584 0.750 0.360
Sc 0.632 0.750 0.673
Sc 0.646 0.250 0.175
Sc 0.717 0.750 0.996
Sc 0.810 0.250 0.825
Sc 0.946 0.750 0.584
Tl 0.016 0.750 0.885
Tl 0.114 0.250 0.713
Tl 0.286 0.750 0.483
Tl 0.714 0.250 0.517
Tl 0.886 0.750 0.287
Tl 0.984 0.250 0.115
Rh 0.456 0.750 0.096
Rh 0.544 0.250 0.904

Computed properties:
formation energy from the elements	-0.366	eV per atom
total magnetic moment	0.101	μB per atom
space group	No. 11

---

Material: ScTl2Rh
Method: DFT, GGA-PBE
State: optimized geometry

Cell: 5.109 5.109 5.101 Å, 106.81 106.81 41.86°
Positions (direct):
Sc 0.000 0.000 0.000
Tl 0.237 0.237 0.729
Tl 0.763 0.763 0.271
Rh 0.500 0.500 0.500

Computed properties:
formation energy from the elements	-0.142	eV per atom
total magnetic moment	0.000	μB per atom
space group	No. 12

---

Material: Sc4Tl3Rh
Method: DFT, GGA-PBE
State: optimized geometry

Cell: 3.365 3.365 15.337 Å, 90.00 90.00 90.00°
Positions (direct):
Sc 0.000 0.000 0.100
Sc 0.000 0.000 0.367
Sc 0.000 0.000 0.633
Sc 0.000 0.000 0.900
Tl 0.500 0.500 0.236
Tl 0.500 0.500 0.500
Tl 0.500 0.500 0.764
Rh 0.500 0.500 0.000

Computed properties:
formation energy from the elements	-0.444	eV per atom
total magnetic moment	0.061	μB per atom
space group	No. 123

---

Material: TmScTlRh
Method: DFT, GGA-PBE
State: optimized geometry

Cell: 4.943 4.943 4.943 Å, 60.00 60.00 60.00°
Positions (direct):
Tm 0.000 0.000 0.000
Sc 0.500 0.500 0.500
Tl 0.250 0.250 0.250
Rh 0.750 0.750 0.750

Computed properties:
formation energy from the elements	-0.510	eV per atom
total magnetic moment	0.000	μB per atom
energy relative to the lowest polymorph listed for this composition	0.52	eV per formula unit
space group	No. 216

---

Material: TmScTlRh
Method: DFT, GGA-PBE
State: optimized geometry

Cell: 3.417 3.417 7.352 Å, 90.00 90.00 90.00°
Positions (direct):
Tm 0.000 0.000 0.000
Sc 0.000 0.000 0.571
Tl 0.500 0.500 0.302
Rh 0.500 0.500 0.768

Computed properties:
formation energy from the elements	-0.641	eV per atom
total magnetic moment	0.000	μB per atom
energy relative to the lowest polymorph listed for this composition	0.00	eV per formula unit
space group	No. 99

---

Material: Sc2TlVRh
Method: DFT, GGA-PBE
State: optimized geometry

Cell: 5.046 5.046 4.654 Å, 90.00 90.00 90.00°
Positions (direct):
Sc 0.000 0.500 0.000
Sc 0.500 0.000 0.000
Tl 0.000 0.000 0.500
V 0.500 0.500 0.500
Rh 0.500 0.500 0.000

Computed properties:
formation energy from the elements	0.080	eV per atom
total magnetic moment	0.494	μB per atom
space group	No. 123

---

Material: ScTlV2Rh
Method: DFT, GGA-PBE
State: optimized geometry

Cell: 4.695 4.695 5.120 Å, 90.00 90.00 90.00°
Positions (direct):
Sc 0.000 0.000 0.000
Tl 0.500 0.500 0.000
V 0.000 0.500 0.500
V 0.500 0.000 0.500
Rh 0.500 0.500 0.500

Computed properties:
formation energy from the elements	0.674	eV per atom
total magnetic moment	0.964	μB per atom
space group	No. 123

---

Material: ZrScTlRh2
Method: DFT, GGA-PBE
State: optimized geometry

Cell: 4.641 4.641 5.203 Å, 90.00 90.00 90.00°
Positions (direct):
Zr 0.000 0.000 0.000
Sc 0.000 0.000 0.500
Tl 0.500 0.500 0.000
Rh 0.000 0.500 0.500
Rh 0.500 0.000 0.500

Computed properties:
formation energy from the elements	0.637	eV per atom
total magnetic moment	0.000	μB per atom
space group	No. 123

---

Material: TmSc5Rh4
Method: DFT, GGA-PBE
State: optimized geometry

Cell: 3.222 3.222 18.209 Å, 90.00 90.00 90.00°
Positions (direct):
Tm 0.000 0.000 0.000
Sc 0.500 0.500 0.144
Sc 0.500 0.500 0.321
Sc 0.500 0.500 0.500
Sc 0.500 0.500 0.679
Sc 0.500 0.500 0.856
Rh 0.000 0.000 0.230
Rh 0.000 0.000 0.410
Rh 0.000 0.000 0.590
Rh 0.000 0.000 0.770

Computed properties:
formation energy from the elements	-0.794	eV per atom
total magnetic moment	0.000	μB per atom
space group	No. 123

---

Material: TmSc2Rh2
Method: DFT, GGA-PBE
State: optimized geometry

Cell: 3.410 4.727 12.062 Å, 90.00 98.11 90.00°
Positions (direct):
Tm 0.140 0.250 0.280
Tm 0.860 0.750 0.720
Sc 0.045 0.750 0.091
Sc 0.231 0.750 0.463
Sc 0.769 0.250 0.537
Sc 0.955 0.250 0.909
Rh 0.358 0.250 0.716
Rh 0.455 0.750 0.911
Rh 0.545 0.250 0.089
Rh 0.642 0.750 0.284

Computed properties:
formation energy from the elements	-0.790	eV per atom
total magnetic moment	0.000	μB per atom
space group	No. 11

---

Material: Tm2ScRh4
Method: DFT, GGA-PBE
State: optimized geometry

Cell: 7.883 7.883 7.883 Å, 33.71 33.71 33.71°
Positions (direct):
Tm 0.242 0.242 0.242
Tm 0.758 0.758 0.758
Sc 0.000 0.000 0.000
Rh 0.120 0.120 0.120
Rh 0.373 0.373 0.373
Rh 0.627 0.627 0.627
Rh 0.880 0.880 0.880

Computed properties:
formation energy from the elements	-0.653	eV per atom
total magnetic moment	0.000	μB per atom
space group	No. 166

---

Material: Tm3ScRh2
Method: DFT, GGA-PBE
State: optimized geometry

Cell: 7.872 7.872 4.540 Å, 106.67 106.67 30.21°
Positions (direct):
Tm 0.000 0.000 0.000
Tm 0.317 0.317 0.816
Tm 0.683 0.683 0.184
Sc 0.500 0.500 0.500
Rh 0.128 0.128 0.627
Rh 0.872 0.872 0.373

Computed properties:
formation energy from the elements	-0.631	eV per atom
total magnetic moment	0.000	μB per atom
energy relative to the lowest polymorph listed for this composition	0.00	eV per formula unit
space group	No. 12